Here is a relaxed structure of LiSc2BiO from Alexandria via LeMat-Bulk. Energies are from PBE-GGA.

Calculated values
The uncorrected formation energy is -689 kJ/mol of formula units. For the volume, the calculation gives 86.5 Å³ per cell.

Unit cell a=4.4233 b=4.4233 c=4.4234 alpha=90.00 beta=90.00 gamma=90.00
With the nearest neighbours (Å) after each atom.
Space group P4/mmm (No. 123)
One atom of each set of equivalent atoms:
Li (0.0000, 0.0000, 0.0000) [1 per cell]  2 O 2.21
Sc (0.0000, 0.5000, 0.5000) [2 per cell]  2 O 2.21
Bi (0.5000, 0.5000, 0.0000) [1 per cell]  4 Li 3.13, 8 Sc 3.13
O (0.0000, 0.0000, 0.5000) [1 per cell]  4 Sc 2.21, 2 Li 2.21